1.
Rb3CeSc3Se8: relaxed, PBE.

Lattice parameters (Å, degrees): 8.081 8.083 9.324 115.71 90.00 120.00
Sites, in units of the cell vectors:
Rb (0.000, 0.000, 0.000)
Rb (0.000, 0.500, 0.000)
Rb (0.500, 0.500, 0.000)
Ce (0.000, 0.000, 0.500)
Sc (0.500, 0.000, 0.500)
Sc (0.500, 0.500, 0.500)
Sc (0.000, 0.500, 0.500)
Se (0.272, 0.543, 0.315)
Se (0.728, 0.457, 0.685)
Se (0.764, 0.527, 0.312)
Se (0.236, 0.473, 0.688)
Se (0.764, 0.048, 0.312)
Se (0.236, 0.952, 0.688)
Se (0.284, 0.048, 0.312)
Se (0.716, 0.952, 0.688)

Properties
Formation energy from raw total energies = -1.615 eV per atom
Symmetry = R-3m


2.
Sn2AuF: relaxed, PBE.

Lattice parameters (Å, degrees): 4.788 4.788 4.788 60.00 60.00 60.00
Sites, in units of the cell vectors:
Au (0.500, 0.500, 0.500)
Sn (0.250, 0.250, 0.250)
Sn (0.750, 0.750, 0.750)
F (0.000, 0.000, 0.000)

Properties
Formation energy from raw total energies = -0.742 eV per atom
Distance to the lowest polymorph of the same formula = 0 meV per atom
N(E_F) = 0.32 states/eV/atom
Symmetry = Fm-3m


3.
La2Tm4In: relaxed, PBE.

Lattice parameters (Å, degrees): 5.597 6.557 11.893 90.00 103.65 90.00
Sites, in units of the cell vectors:
La (0.514, 0.750, 0.027)
La (0.486, 0.250, 0.973)
La (0.196, 0.250, 0.390)
La (0.804, 0.750, 0.610)
Tm (0.640, 0.498, 0.280)
Tm (0.945, 0.750, 0.889)
Tm (0.055, 0.250, 0.111)
Tm (0.640, 0.002, 0.280)
Tm (0.775, 0.250, 0.546)
Tm (0.360, 0.998, 0.720)
Tm (0.360, 0.502, 0.720)
Tm (0.225, 0.750, 0.454)
In (0.093, 0.750, 0.185)
In (0.907, 0.250, 0.815)

Properties
Energy of formation = -0.028 eV per atom
N(E_F) = 1.06 states/eV/atom
Symmetry = P2_1/m


4.
RbBaNb2O7: relaxed, PBE.

Lattice parameters (Å, degrees): 4.008 4.008 12.531 99.20 99.20 90.00
Sites, in units of the cell vectors:
Rb (0.250, 0.750, 0.500)
Ba (0.500, 0.500, 0.000)
Nb (0.900, 0.900, 0.801)
Nb (0.100, 0.100, 0.199)
O (0.085, 0.585, 0.169)
O (0.000, 0.000, 0.000)
O (0.415, 0.915, 0.831)
O (0.827, 0.827, 0.653)
O (0.584, 0.084, 0.168)
O (0.173, 0.173, 0.347)
O (0.916, 0.416, 0.832)

Properties
Formation energy from raw total energies = -2.408 eV per atom
N(E_F) = 0.41 states/eV/atom
Symmetry = I-4m2


5.
BaTlZn4: relaxed, PBE.

Lattice parameters (Å, degrees): 5.837 5.837 5.837 60.00 60.00 60.00
Sites, in units of the cell vectors:
Ba (0.750, 0.750, 0.750)
Tl (0.000, 0.000, 0.000)
Zn (0.878, 0.374, 0.374)
Zn (0.374, 0.374, 0.878)
Zn (0.374, 0.878, 0.374)
Zn (0.374, 0.374, 0.374)

Properties
Energy of formation = -0.066 eV per atom
N(E_F) = 0.57 states/eV/atom
Symmetry = F-43m


6.
K2GaPt: relaxed, PBE.

Lattice parameters (Å, degrees): 4.327 4.327 11.792 79.43 79.43 90.00
Sites, in units of the cell vectors:
K (0.633, 0.125, 0.250)
K (0.117, 0.625, 0.250)
K (0.375, 0.367, 0.750)
K (0.875, 0.883, 0.750)
Ga (0.500, 0.500, 0.000)
Ga (0.250, 0.750, 0.500)
Pt (0.000, 0.000, 0.000)
Pt (0.750, 0.250, 0.500)

Properties
Energy of formation = 0.354 eV per atom
N(E_F) = 0.58 states/eV/atom
Symmetry = I-42d